No. 1
Crystalline La3DyPd12 at its relaxed geometry, computed with PBE-GGA.

CIF file:
```
data_La3DyPd12
_symmetry_space_group_name_H-M 'P 4/m m m'
_symmetry_Int_Tables_number 123
_symmetry_space_group_name_Hall '-P 4 2'
_cell_length_a 4.2038
_cell_length_b 4.2038
_cell_length_c 16.8198
_cell_angle_alpha 90.00
_cell_angle_beta 90.00
_cell_angle_gamma 90.00
loop_
_atom_site_label
_atom_site_type_symbol
_atom_site_fract_x
_atom_site_fract_y
_atom_site_fract_z
_atom_site_occupancy
La1 La 0.0000 0.0000 0.0000 1
La2 La 0.0000 0.0000 0.2545 1
Dy1 Dy 0.0000 0.0000 0.5000 1
Pd1 Pd 0.0000 0.5000 0.1265 1
Pd2 Pd 0.0000 0.5000 0.3802 1
Pd3 Pd 0.5000 0.5000 0.0000 1
Pd4 Pd 0.5000 0.5000 0.2527 1
Pd5 Pd 0.5000 0.5000 0.5000 1
```


No. 2
Crystalline LaDyPd at its relaxed geometry, computed with PBE-GGA.

CIF file:
```
data_LaDyPd
_symmetry_space_group_name_H-M 'P 1 21/m 1'
_symmetry_Int_Tables_number 11
_symmetry_space_group_name_Hall '-P 2yb'
_cell_length_a 5.6679
_cell_length_b 4.8689
_cell_length_c 6.5764
_cell_angle_alpha 90.00
_cell_angle_beta 105.39
_cell_angle_gamma 90.00
loop_
_atom_site_label
_atom_site_type_symbol
_atom_site_fract_x
_atom_site_fract_y
_atom_site_fract_z
_atom_site_occupancy
La1 La 0.0806 0.2500 0.2702 1
Dy1 Dy 0.4485 0.2500 0.8084 1
Pd1 Pd 0.3591 0.7500 0.5619 1
```


No. 3
Crystalline La2DyPd at its relaxed geometry, computed with PBE-GGA.

CIF file:
```
data_La2DyPd
_symmetry_space_group_name_H-M 'P 4/m m m'
_symmetry_Int_Tables_number 123
_symmetry_space_group_name_Hall '-P 4 2'
_cell_length_a 3.7808
_cell_length_b 3.7808
_cell_length_c 8.3143
_cell_angle_alpha 90.00
_cell_angle_beta 90.00
_cell_angle_gamma 90.00
loop_
_atom_site_label
_atom_site_type_symbol
_atom_site_fract_x
_atom_site_fract_y
_atom_site_fract_z
_atom_site_occupancy
La1 La 0.0000 0.0000 0.2071 1
Dy1 Dy 0.5000 0.5000 0.5000 1
Pd1 Pd 0.5000 0.5000 0.0000 1
```


No. 4
Crystalline LaDy4Pd2 at its relaxed geometry, computed with PBE-GGA.

CIF file:
```
data_LaDy4Pd2
_symmetry_space_group_name_H-M 'P 1 21/m 1'
_symmetry_Int_Tables_number 11
_symmetry_space_group_name_Hall '-P 2yb'
_cell_length_a 7.7241
_cell_length_b 6.5080
_cell_length_c 8.2315
_cell_angle_alpha 90.00
_cell_angle_beta 111.25
_cell_angle_gamma 90.00
loop_
_atom_site_label
_atom_site_type_symbol
_atom_site_fract_x
_atom_site_fract_y
_atom_site_fract_z
_atom_site_occupancy
La1 La 0.1364 0.2500 0.0198 1
Dy1 Dy 0.0300 0.2500 0.4005 1
Dy2 Dy 0.2468 0.7500 0.3513 1
Dy3 Dy 0.4009 0.0032 0.7643 1
Pd1 Pd 0.2782 0.7500 0.0028 1
Pd2 Pd 0.3893 0.2500 0.4203 1
```


No. 5
Crystalline LaDy5Pd2 at its relaxed geometry, computed with PBE-GGA.

CIF file:
```
data_LaDy5Pd2
_symmetry_space_group_name_H-M 'C m c m'
_symmetry_Int_Tables_number 63
_symmetry_space_group_name_Hall '-C 2c 2'
_cell_length_a 3.8220
_cell_length_b 13.0739
_cell_length_c 18.2974
_cell_angle_alpha 90.00
_cell_angle_beta 90.00
_cell_angle_gamma 90.00
loop_
_atom_site_label
_atom_site_type_symbol
_atom_site_fract_x
_atom_site_fract_y
_atom_site_fract_z
_atom_site_occupancy
La1 La 0.0000 0.1577 0.2500 1
Dy1 Dy 0.0000 0.1033 0.7500 1
Dy2 Dy 0.0000 0.1596 0.0460 1
Dy3 Dy 0.0000 0.4459 0.0971 1
Pd1 Pd 0.0000 0.2317 0.6274 1
```


No. 6
Crystalline LaDyPd4 at its relaxed geometry, computed with PBE-GGA.

CIF file:
```
data_LaDyPd4
_symmetry_space_group_name_H-M 'P 4/m m m'
_symmetry_Int_Tables_number 123
_symmetry_space_group_name_Hall '-P 4 2'
_cell_length_a 3.9755
_cell_length_b 3.9755
_cell_length_c 8.6498
_cell_angle_alpha 90.00
_cell_angle_beta 90.00
_cell_angle_gamma 90.00
loop_
_atom_site_label
_atom_site_type_symbol
_atom_site_fract_x
_atom_site_fract_y
_atom_site_fract_z
_atom_site_occupancy
La1 La 0.0000 0.0000 0.0000 1
Dy1 Dy 0.5000 0.5000 0.5000 1
Pd1 Pd 0.0000 0.5000 0.2568 1
```


No. 7
Crystalline LaDyPd at its relaxed geometry, computed with PBE-GGA.

CIF file:
```
data_LaDyPd
_symmetry_space_group_name_H-M 'P 3 m 1'
_symmetry_Int_Tables_number 156
_symmetry_space_group_name_Hall 'P 3 -2"'
_cell_length_a 4.8023
_cell_length_b 4.8023
_cell_length_c 4.1370
_cell_angle_alpha 90.00
_cell_angle_beta 90.00
_cell_angle_gamma 120.00
loop_
_atom_site_label
_atom_site_type_symbol
_atom_site_fract_x
_atom_site_fract_y
_atom_site_fract_z
_atom_site_occupancy
La1 La 0.0000 0.0000 0.0000 1
Dy1 Dy 0.3333 0.6667 0.5255 1
Pd1 Pd 0.6667 0.3333 0.3726 1
```


No. 8
Crystalline LaDyPd4 at its relaxed geometry, computed with PBE-GGA.

CIF file:
```
data_LaDyPd4
_symmetry_space_group_name_H-M 'C m c m'
_symmetry_Int_Tables_number 63
_symmetry_space_group_name_Hall '-C 2c 2'
_cell_length_a 4.2562
_cell_length_b 19.9442
_cell_length_c 5.8046
_cell_angle_alpha 90.00
_cell_angle_beta 90.00
_cell_angle_gamma 90.00
loop_
_atom_site_label
_atom_site_type_symbol
_atom_site_fract_x
_atom_site_fract_y
_atom_site_fract_z
_atom_site_occupancy
La1 La 0.0000 0.2200 0.2500 1
Dy1 Dy 0.0000 0.0744 0.7500 1
Pd1 Pd 0.0000 0.0708 0.2500 1
Pd2 Pd 0.0000 0.3562 0.5059 1
Pd3 Pd 0.0000 0.5000 0.0000 1
```


No. 9
Crystalline LaDyPd at its relaxed geometry, computed with PBE-GGA.

CIF file:
```
data_LaDyPd
_symmetry_space_group_name_H-M 'P 1 21/c 1'
_symmetry_Int_Tables_number 14
_symmetry_space_group_name_Hall '-P 2ybc'
_cell_length_a 7.3437
_cell_length_b 6.5021
_cell_length_c 7.4641
_cell_angle_alpha 90.00
_cell_angle_beta 107.59
_cell_angle_gamma 90.00
loop_
_atom_site_label
_atom_site_type_symbol
_atom_site_fract_x
_atom_site_fract_y
_atom_site_fract_z
_atom_site_occupancy
La1 La 0.1360 0.1334 0.3626 1
Dy1 Dy 0.4260 0.6594 0.2977 1
Pd1 Pd 0.1842 0.5904 0.5200 1
```


No. 10
Crystalline La3DyPd2 at its relaxed geometry, computed with PBE-GGA.

CIF file:
```
data_La3DyPd2
_symmetry_space_group_name_H-M 'I m m m'
_symmetry_Int_Tables_number 71
_symmetry_space_group_name_Hall '-I 2 2'
_cell_length_a 4.7666
_cell_length_b 4.9587
_cell_length_c 14.9217
_cell_angle_alpha 90.00
_cell_angle_beta 90.00
_cell_angle_gamma 90.00
loop_
_atom_site_label
_atom_site_type_symbol
_atom_site_fract_x
_atom_site_fract_y
_atom_site_fract_z
_atom_site_occupancy
La1 La 0.0000 0.0000 0.0000 1
La2 La 0.0000 0.5000 0.1913 1
Dy1 Dy 0.0000 0.0000 0.5000 1
Pd1 Pd 0.0000 0.5000 0.3784 1
```


No. 11
Crystalline LaDy4Pd4 at its relaxed geometry, computed with PBE-GGA.

CIF file:
```
data_LaDy4Pd4
_symmetry_space_group_name_H-M 'P 42/n'
_symmetry_Int_Tables_number 86
_cell_length_a 9.1291
_cell_length_b 9.1291
_cell_length_c 5.7722
_cell_angle_alpha 90.00
_cell_angle_beta 90.00
_cell_angle_gamma 90.00
loop_
_symmetry_equiv_pos_as_xyz
'x,y,z'
'-x,-y,-z'
'-y,x+1/2,z+1/2'
'y,-x+1/2,-z+1/2'
'-x+1/2,-y+1/2,z'
'x+1/2,y+1/2,-z'
'y+1/2,-x,z+1/2'
'-y+1/2,x,-z+1/2'
loop_
_atom_site_label
_atom_site_type_symbol
_atom_site_fract_x
_atom_site_fract_y
_atom_site_fract_z
_atom_site_occupancy
La1 La 0.2500 0.2500 0.2500 1
Dy1 Dy 0.0786 0.6539 0.1658 1
Pd1 Pd 0.0391 0.6210 0.6635 1
```


No. 12
Crystalline LaDyPdRh at its relaxed geometry, computed with PBE-GGA.

CIF file:
```
data_LaDyPdRh
_symmetry_space_group_name_H-M 'F -4 3 m'
_symmetry_Int_Tables_number 216
_symmetry_space_group_name_Hall 'F -4 2 3'
_cell_length_a 7.1073
_cell_length_b 7.1073
_cell_length_c 7.1073
_cell_angle_alpha 90.00
_cell_angle_beta 90.00
_cell_angle_gamma 90.00
loop_
_atom_site_label
_atom_site_type_symbol
_atom_site_fract_x
_atom_site_fract_y
_atom_site_fract_z
_atom_site_occupancy
La1 La 0.0000 0.0000 0.0000 1
Dy1 Dy 0.0000 0.0000 0.5000 1
Pd1 Pd 0.2500 0.2500 0.2500 1
Rh1 Rh 0.2500 0.2500 0.7500 1
```


| no. | ΔH_f (0 K) (eV/atom) | calculated total energy (eV/cell) |
| --- | --- | --- |
| 1 | -0.82 | -94.786 |
| 2 | -0.51 | -32.478 |
| 3 | -0.32 | -20.949 |
| 4 | -0.43 | -73.410 |
| 5 | -0.37 | -165.261 |
| 6 | -0.60 | -33.903 |
| 7 | -0.40 | -15.924 |
| 8 | -0.86 | -141.826 |
| 9 | -0.57 | -65.717 |
| 10 | -0.48 | -65.339 |
| 11 | -0.68 | -100.500 |
| 12 | -0.77 | -100.630 |